# 1
A geometry-optimized Na5Pt3 structure. Source: the Alexandria database, functional GGA-PBE.

Unit cell a=5.135 b=16.313 c=8.532 alpha=90.00 beta=107.41 gamma=90.00
Space group C2/m (No. 12)
One atom of each set of equivalent atoms:
Na 0.097 0.179 0.195 [8 per cell]
Na 0.178 0.403 0.358 [8 per cell]
Na 0.250 0.000 0.000 [4 per cell]
Pt 0.000 0.250 0.500 [4 per cell]
Pt 0.000 0.335 0.000 [4 per cell]
Pt 0.163 0.000 0.330 [4 per cell]

Properties
Formation energy from the elements, meV/atom: -27
Distance to the lowest polymorph of the same formula, eV per atom: 0.060
Density of states at the Fermi level, states/eV/cell: 13.72

# 2
A geometry-optimized ScFe2Te structure. Source: the Alexandria database, functional GGA-PBE.

Unit cell a=4.034 b=4.034 c=4.031 alpha=90.00 beta=90.00 gamma=90.00
Space group P4/mmm (No. 123)
One atom of each set of equivalent atoms:
Sc 0.000 0.000 0.000 [1 per cell]
Fe 0.000 0.500 0.500 [2 per cell]
Te 0.500 0.500 0.000 [1 per cell]

Properties
Uncorrected formation energy, eV/atom: -0.087
Density of states at the Fermi level, states/eV/cell: 2.69

# 3
A geometry-optimized HW2Br2 structure. Source: the Alexandria database, functional GGA-PBE.

Unit cell a=9.071 b=9.071 c=2.998 alpha=90.00 beta=90.00 gamma=90.00
Space group P4/mbm (No. 127)
One atom of each set of equivalent atoms:
H 0.000 0.000 0.000 [2 per cell]
W 0.092 0.408 0.500 [4 per cell]
Br 0.240 0.740 0.000 [4 per cell]

Properties
Distance to the lowest polymorph of the same formula, eV per atom: 0.427
Density of states at the Fermi level, states/eV/cell: 7.01

# 4
A geometry-optimized SiHg structure. Source: the Alexandria database, functional GGA-PBE.

Unit cell a=5.336 b=5.336 c=5.506 alpha=90.00 beta=90.00 gamma=90.00
Space group P4/mmm (No. 123)
One atom of each set of equivalent atoms:
Si 0.000 0.000 0.000 [1 per cell]
Si 0.000 0.500 0.500 [2 per cell]
Hg 0.000 0.000 0.500 [1 per cell]
Hg 0.000 0.500 0.000 [2 per cell]

Properties
Uncorrected formation energy, eV/atom: 0.731
Distance to the lowest polymorph of the same formula, eV per atom: 0.585
Density of states at the Fermi level, states/eV/cell: 2.75